[1]
## Tl3VP (GGA-PBE)

Data for a relaxed structure of Tl3VP.

Results
- DFT total energy (eV/atom) = -3.336

a b c (Å): 5.3368 5.3368 5.3368
angles (deg): 90.00 90.00 90.00
With the nearest neighbours (Å) after each atom.
Space group Pm-3m (No. 221)
One atom of each set of equivalent atoms:
Tl 0.0000 0.0000 0.5000 x3  2 P 2.67
V 0.5000 0.5000 0.5000 x1  12 Tl 3.77
P 0.0000 0.0000 0.0000 x1  6 Tl 2.67



[2]
## YHf2I (GGA-PBE)

Data for a relaxed structure of YHf2I.

Results
- DFT total energy (eV/atom) = -6.538
- E_form (uncorrected) (eV/atom) = 0.44

a b c (Å): 8.6110 8.6110 5.8999
angles (deg): 90.00 90.00 90.00
With the nearest neighbours (Å) after each atom.
Space group I-42d (No. 122)
One atom of each set of equivalent atoms:
Y 0.0000 0.0000 0.0000 x4  2 I 2.95
Hf 0.2010 0.2500 0.6250 x8  2 I 2.86, 2 Hf 3.07
I 0.0000 0.0000 0.5000 x4  4 Hf 2.86, 2 Y 2.95



[3]
## TlTePH (GGA-PBE)

Data for a relaxed structure of TlTePH.

Results
- DFT total energy (eV/atom) = -3.269

a b c (Å): 8.0360 3.6271 6.4141
angles (deg): 90.00 96.03 90.00
With the nearest neighbours (Å) after each atom.
Space group Cm (No. 8)
One atom of each set of equivalent atoms:
Tl 0.0000 0.0000 0.0000 x2  1 H 2.68, 3 P 2.91-2.96
Te 0.1395 0.5000 0.4642 x2  1 H 1.73
P 0.2744 0.0000 0.7374 x2  2 Te 2.67, 3 Tl 2.91-2.96
H 0.3084 0.5000 0.3181 x2  1 Te 1.73



[4]
## Ho4TlTe3 (GGA-PBE)

Data for a relaxed structure of Ho4TlTe3.

Results
- DFT total energy (eV/atom) = -4.818
- E_form (uncorrected) (eV/atom) = -1.06

a b c (Å): 7.5517 8.7528 7.5472
angles (deg): 90.00 109.53 90.00
With the nearest neighbours (Å) after each atom.
Space group P2/c (No. 13)
One atom of each set of equivalent atoms:
Ho 0.2397 0.1196 0.0005 x4  2 Tl 3.02, 4 Te 3.10-3.18
Ho 0.2413 0.3663 0.4910 x4  1 Tl 2.98, 5 Te 3.08-3.17
Tl 0.0000 0.1246 0.2500 x2  6 Ho 2.98-3.02
Te 0.0000 0.3763 0.7500 x2  6 Ho 3.08-3.10
Te 0.5000 0.1271 0.7500 x2  6 Ho 3.08-3.15
Te 0.5000 0.3790 0.2500 x2  6 Ho 3.08-3.18



[5]
## Ba2LiNb (GGA-PBE)

Data for a relaxed structure of Ba2LiNb.

Results
- DFT total energy (eV/atom) = -3.222

a b c (Å): 8.4942 8.4942 8.4942
angles (deg): 90.00 90.00 90.00
With the nearest neighbours (Å) after each atom.
Space group Fm-3m (No. 225)
One atom of each set of equivalent atoms:
Ba 0.2500 0.2500 0.2500 x8  4 Nb 3.68, 4 Li 3.68
Li 0.0000 0.0000 0.0000 x4  8 Ba 3.68
Nb 0.0000 0.0000 0.5000 x4  8 Ba 3.68



[6]
## MgIr2RuC (GGA-PBE)

Data for a relaxed structure of MgIr2RuC.

Results
- DFT total energy (eV/atom) = -7.572

a b c (Å): 4.0694 4.0694 4.1062
angles (deg): 90.00 90.00 90.00
With the nearest neighbours (Å) after each atom.
Space group P4/mmm (No. 123)
One atom of each set of equivalent atoms:
Mg 0.0000 0.0000 0.0000 x1  4 Ru 2.88, 8 Ir 2.89
Ir 0.0000 0.5000 0.5000 x2  2 C 2.03
Ru 0.5000 0.5000 0.0000 x1  2 C 2.05
C 0.5000 0.5000 0.5000 x1  4 Ir 2.03, 2 Ru 2.05



[7]
## La3CeAg4 (GGA-PBE)

Data for a relaxed structure of La3CeAg4.

Results
- DFT total energy (eV/atom) = -4.217

a b c (Å): 3.8006 3.8006 15.2197
angles (deg): 90.00 90.00 90.00
With the nearest neighbours (Å) after each atom.
Space group P4/mmm (No. 123)
One atom of each set of equivalent atoms:
La 0.0000 0.0000 0.0000 x1  8 Ag 3.30
La 0.0000 0.0000 0.2529 x2  8 Ag 3.31
Ce 0.0000 0.0000 0.5000 x1  8 Ag 3.25
Ag 0.5000 0.5000 0.1258 x2  8 La 3.30-3.31
Ag 0.5000 0.5000 0.3798 x2  4 Ce 3.25, 4 La 3.31



[8]
## La6Hg2Pt (GGA-PBE)

Data for a relaxed structure of La6Hg2Pt.

Results
- DFT total energy (eV/atom) = -4.535

a b c (Å): 9.0630 9.0630 3.9212
angles (deg): 90.00 90.00 120.00
With the nearest neighbours (Å) after each atom.
Space group P-62m (No. 189)
One atom of each set of equivalent atoms:
La 0.0000 0.2458 0.0000 x3  2 Pt 2.97
La 0.0000 0.5972 0.5000 x3  4 Hg 3.39, 1 Pt 3.65, 6 La 3.74
Hg 0.3333 0.6667 0.0000 x2  9 La 3.39-3.49
Pt 0.0000 0.0000 0.5000 x1  6 La 2.97



[9]
## SrScGa (GGA-PBE)

Data for a relaxed structure of SrScGa.

Results
- DFT total energy (eV/atom) = -4.009

a b c (Å): 8.1886 4.8862 8.3382
angles (deg): 90.00 90.00 90.00
With the nearest neighbours (Å) after each atom.
Space group Pnma (No. 62)
One atom of each set of equivalent atoms:
Sr 0.0173 0.2500 0.1754 x4  5 Ga 3.27-3.60, 3 Sc 3.45-3.50
Sc 0.1418 0.2500 0.5775 x4  4 Ga 2.83-2.94
Ga 0.2024 0.7500 0.3956 x4  4 Sc 2.83-2.94



[10]
## Tb5Ho2Sc2 (GGA-PBE)

Data for a relaxed structure of Tb5Ho2Sc2.

Results
- DFT total energy (eV/atom) = -4.800

a b c (Å): 14.8515 12.4318 5.9719
angles (deg): 90.00 90.00 90.00
With the nearest neighbours (Å) after each atom.
Space group Ima2 (No. 46)
One atom of each set of equivalent atoms:
Tb 0.0457 0.1873 0.0000 x8  5 Tb 3.34-3.46, 2 Sc 3.40-3.43, 1 Ho 3.58
Tb 0.1432 0.6884 0.1616 x8  5 Tb 3.17-3.46, 2 Ho 3.22-3.40, 3 Sc 3.23-3.47
Tb 0.2500 0.1785 0.2452 x4  3 Ho 3.23-3.53, 2 Sc 3.32, 4 Tb 3.37-3.48
Ho 0.0000 0.0000 0.5602 x4  4 Tb 3.22-3.58, 2 Sc 3.29
Ho 0.2500 0.0518 0.7170 x4  5 Tb 3.23-3.53, 2 Sc 3.32
Sc 0.1430 0.5519 0.6541 x8  1 Sc 3.18, 6 Tb 3.23-3.47, 2 Ho 3.29-3.32



[11]
## Nd2MnAs3Pd4 (GGA-PBE)

Data for a relaxed structure of Nd2MnAs3Pd4.

Results
- DFT total energy (eV/atom) = -6.125

a b c (Å): 4.2261 4.2261 10.8391
angles (deg): 90.00 90.00 90.00
With the nearest neighbours (Å) after each atom.
Space group P-4m2 (No. 115)
One atom of each set of equivalent atoms:
Nd 0.0000 0.5000 0.2341 x2  4 As 3.17, 8 Pd 3.30
Mn 0.0000 0.0000 0.5000 x1  4 Pd 2.58
As 0.0000 0.5000 0.8625 x2  5 Pd 2.45-2.59
As 0.5000 0.5000 0.5000 x1  4 Pd 2.58
Pd 0.0000 0.0000 0.0000 x1  4 As 2.59
Pd 0.0000 0.5000 0.6361 x2  3 As 2.45-2.58, 2 Mn 2.58
Pd 0.5000 0.5000 0.0000 x1  4 As 2.59



[12]
## Pm2Pr3Er8 (GGA-PBE)

Data for a relaxed structure of Pm2Pr3Er8.

Results
- DFT total energy (eV/atom) = -4.384

a b c (Å): 20.4143 7.6977 5.6184
angles (deg): 90.00 90.04 90.00
With the nearest neighbours (Å) after each atom.
Space group C2/m (No. 12)
One atom of each set of equivalent atoms:
Pm 0.2412 0.0000 0.4989 x4  8 Er 3.38-3.58
Pr 0.0000 0.0000 0.5000 x2  4 Er 3.15
Pr 0.0000 0.2936 0.0000 x4  1 Pr 3.18, 2 Er 3.54
Er 0.1092 0.2901 0.5003 x8  1 Pr 3.15, 3 Er 3.23-3.45, 2 Pm 3.46-3.50
Er 0.1332 0.0000 0.9996 x4  4 Pr 3.54-3.91, 2 Pm 3.57-3.58, 6 Er 3.62-3.91
Er 0.1671 0.5000 0.0009 x4  2 Pm 3.38, 4 Er 3.45, 2 Pr 3.76



[13]
## InFeI2N (GGA-PBE)

Data for a relaxed structure of InFeI2N.

Results
- DFT total energy (eV/atom) = -3.458
- E_form (uncorrected) (eV/atom) = 1.07

a b c (Å): 6.0521 6.0521 4.0011
angles (deg): 90.00 90.00 90.00
With the nearest neighbours (Å) after each atom.
Space group P4/mmm (No. 123)
One atom of each set of equivalent atoms:
In 0.0000 0.0000 0.0000 x1  2 N 2.00
Fe 0.5000 0.5000 0.5000 x1  8 I 3.63, 2 Fe 4.00
I 0.0000 0.5000 0.0000 x2  2 In 3.03
N 0.0000 0.0000 0.5000 x1  2 In 2.00



[14]
## K2SnH2OF6 (GGA-PBE)

Data for a relaxed structure of K2SnH2OF6.

Results
- DFT total energy (eV/atom) = -4.715

a b c (Å): 12.6326 13.5021 17.9931
angles (deg): 90.00 90.00 90.00
With the nearest neighbours (Å) after each atom.
Space group Fddd (No. 70, origin choice 2)
One atom of each set of equivalent atoms:
K 0.0950 0.3750 0.3750 x16  6 F 2.67-2.70
K 0.1250 0.1250 0.4993 x16  8 F 2.87-3.10
Sn 0.1250 0.3460 0.6250 x16  6 F 2.00-2.01
H 0.1192 0.0672 0.0596 x32  1 O 0.98
O 0.1250 0.1250 0.0274 x16  2 H 0.98
F 0.0167 0.0112 0.6372 x32  1 Sn 2.00
F 0.0173 0.2950 0.1273 x32  1 Sn 2.00
F 0.0976 0.3368 0.7351 x32  1 Sn 2.01



[15]
## BaNaLiAs (GGA-PBE)

Data for a relaxed structure of BaNaLiAs.

Results
- DFT total energy (eV/atom) = -3.066

a b c (Å): 4.5466 4.5466 12.5542
angles (deg): 90.00 90.00 90.00
With the nearest neighbours (Å) after each atom.
Space group P4/nmm (No. 129, origin choice 2)
One atom of each set of equivalent atoms:
Ba 0.2500 0.2500 0.1966 x2  4 Li 3.36, 4 As 3.36
Na 0.2500 0.7500 0.5000 x2  4 Na 3.21
Li 0.2500 0.7500 0.0000 x2  4 As 2.71
As 0.2500 0.2500 0.8824 x2  4 Li 2.71



[16]
## LiTb2Sm (GGA-PBE)

Data for a relaxed structure of LiTb2Sm.

Results
- DFT total energy (eV/atom) = -3.777

a b c (Å): 7.8235 7.8235 7.8235
angles (deg): 90.00 90.00 90.00
With the nearest neighbours (Å) after each atom.
Space group Fm-3m (No. 225)
One atom of each set of equivalent atoms:
Li 0.0000 0.0000 0.0000 x4  8 Tb 3.39
Tb 0.2500 0.2500 0.2500 x8  4 Li 3.39, 4 Sm 3.39
Sm 0.0000 0.0000 0.5000 x4  8 Tb 3.39



[17]
## Sr5Hg2Sb (GGA-PBE)

Data for a relaxed structure of Sr5Hg2Sb.

Results
- DFT total energy (eV/atom) = -2.208
- E_form (uncorrected) (eV/atom) = -0.57

a b c (Å): 8.6879 8.6879 15.6720
angles (deg): 90.00 90.00 90.00
With the nearest neighbours (Å) after each atom.
Space group I4/mcm (No. 140)
One atom of each set of equivalent atoms:
Sr 0.0000 0.0000 0.0000 x4  4 Hg 3.42
Sr 0.1676 0.3324 0.1465 x16  3 Hg 3.41-3.46, 2 Sb 3.62
Hg 0.1271 0.3729 0.5000 x8  1 Hg 3.12, 8 Sr 3.41-3.46
Sb 0.0000 0.0000 0.2500 x4  10 Sr 3.62-3.92



[18]
## NiH2Ir2 (GGA-PBE)

Data for a relaxed structure of NiH2Ir2.

Results
- DFT total energy (eV/atom) = -5.890

a b c (Å): 5.1765 5.1765 3.6497
angles (deg): 90.00 90.00 90.00
With the nearest neighbours (Å) after each atom.
Space group P4/mbm (No. 127)
One atom of each set of equivalent atoms:
Ni 0.0000 0.0000 0.0000 x2  4 H 1.93
H 0.1651 0.3349 0.0000 x4  2 Ir 1.83, 2 Ni 1.93
Ir 0.1876 0.3124 0.5000 x4  2 H 1.83



[19]
## CaAcSmSn (GGA-PBE)

Data for a relaxed structure of CaAcSmSn.

Results
- DFT total energy (eV/atom) = -3.830

a b c (Å): 8.0589 8.0589 8.0589
angles (deg): 90.00 90.00 90.00
With the nearest neighbours (Å) after each atom.
Space group F-43m (No. 216)
One atom of each set of equivalent atoms:
Ca 0.0000 0.0000 0.0000 x4  4 Sn 3.49, 4 Ac 3.49
Ac 0.2500 0.2500 0.7500 x4  4 Ca 3.49, 4 Sm 3.49
Sm 0.0000 0.0000 0.5000 x4  4 Ac 3.49, 4 Sn 3.49
Sn 0.2500 0.2500 0.2500 x4  4 Ca 3.49, 4 Sm 3.49



[20]
## Re3RuRh (GGA-PBE)

Data for a relaxed structure of Re3RuRh.

Results
- DFT total energy (eV/atom) = -8.556

a b c (Å): 4.5984 4.5984 4.5984
angles (deg): 90.00 90.00 90.00
With the nearest neighbours (Å) after each atom.
Space group Pm-3m (No. 221)
One atom of each set of equivalent atoms:
Re 0.0000 0.0000 0.5000 x3  2 Ru 2.30
Ru 0.0000 0.0000 0.0000 x1  6 Re 2.30
Rh 0.5000 0.5000 0.5000 x1  12 Re 3.25



[21]
## NbSnAu (GGA-PBE)

Data for a relaxed structure of NbSnAu.

Results
- DFT total energy (eV/atom) = -5.521

a b c (Å): 3.9644 4.8278 7.1558
angles (deg): 90.00 90.00 90.00
With the nearest neighbours (Å) after each atom.
Space group Pmmn (No. 59, origin choice 2)
One atom of each set of equivalent atoms:
Nb 0.2500 0.2500 0.2195 x2  4 Au 2.69-2.79, 2 Sn 2.91
Sn 0.2500 0.7500 0.4828 x2  4 Nb 2.91-3.06, 1 Au 3.07, 4 Sn 3.13
Au 0.2500 0.7500 0.0544 x2  4 Nb 2.69-2.79